VASP calculation (PBE) on an optimized crystal structure of CrFeTc4.

Its crystal system is cubic. The calculation puts the density of states at the Fermi level at 17.83 states/eV per cell. The energy of formation from the pure elements is 0.452 eV/atom. The calculation puts the total magnetic moment at 1.80 μB/cell. The density is 9.10 g/cm³. The total energy is -227.345 eV/cell.

The structure belongs to space group F-43m (No. 216); the cell edges are 7.145, 7.145 and 7.145 Å and the angles 90.00°, 90.00° and 90.00°. The distinct sites, in fractional coordinates, are Cr at (0.000, 0.000, 0.000), Fe at (0.250, 0.250, 0.250) and Tc at (0.125, 0.125, 0.625).